The following is a DFT calculation (PBE-GGA) of a relaxed structure of LiLaThCd.

Output
Energy of formation from the pure elements, meV per atom: 15.3
Theoretical density, g cm⁻³: 7.187
Space group: F-43m, No. 216

a b c (Å): 5.4313 5.4313 5.4313
angles (deg): 60.00 60.00 60.00
With the nearest neighbours (Å) after each atom.
Fractional coordinates of all 4 atoms:
Li  0.0000  0.0000  0.0000  4 Th 3.33, 4 La 3.33
La  0.2500  0.2500  0.2500  4 Cd 3.33, 4 Li 3.33
Th  0.7500  0.7500  0.7500  4 Cd 3.33, 4 Li 3.33
Cd  0.5000  0.5000  0.5000  4 La 3.33, 4 Th 3.33

***

The following is a DFT calculation (PBE-GGA) of a relaxed structure of LiLaTl2Cd.

Output
Energy of formation from the pure elements, meV per atom: -187.5
Theoretical density, g cm⁻³: 8.565
Space group: P4/mmm, No. 123

a b c (Å): 5.1016 5.1016 4.9685
angles (deg): 90.00 90.00 90.00
With the nearest neighbours (Å) after each atom.
Fractional coordinates of all 5 atoms:
Li  0.0000  0.0000  0.0000  2 Cd 2.48, 4 Tl 2.55
La  0.5000  0.5000  0.5000  8 Tl 3.56, 4 Cd 3.61
Tl  0.0000  0.5000  0.0000  2 Li 2.55
Tl  0.5000  0.0000  0.0000  2 Li 2.55
Cd  0.0000  0.0000  0.5000  2 Li 2.48

***

The following is a DFT calculation (PBE-GGA) of a relaxed structure of Li2LaTlCd2.

Output
Energy of formation from the pure elements, meV per atom: -75.7
Theoretical density, g cm⁻³: 6.296
Space group: P4/mmm, No. 123

a b c (Å): 4.9222 4.9222 6.3357
angles (deg): 90.00 90.00 90.00
With the nearest neighbours (Å) after each atom.
Fractional coordinates of all 6 atoms:
Li  0.0000  0.5000  0.0000  2 Tl 2.46
Li  0.5000  0.0000  0.0000  2 Tl 2.46
La  0.0000  0.0000  0.5000  2 Tl 3.17
Tl  0.0000  0.0000  0.0000  4 Li 2.46
Cd  0.5000  0.5000  0.2647  4 Li 2.98, 1 Cd 2.98
Cd  0.5000  0.5000  0.7353  4 Li 2.98, 1 Cd 2.98

***

The following is a DFT calculation (PBE-GGA) of a relaxed structure of LiLaTl2Cd.

Output
Energy of formation from the pure elements, meV per atom: -223.5
Theoretical density, g cm⁻³: 8.460
Space group: Pmma, No. 51

a b c (Å): 5.8028 6.7977 6.6384
angles (deg): 90.00 90.00 90.00
With the nearest neighbours (Å) after each atom.
Fractional coordinates of all 10 atoms:
Li  0.0000  0.0000  0.0000  2 Cd 2.72, 2 Li 2.90, 4 Tl 2.96
Li  0.5000  0.0000  0.0000  2 Cd 2.72, 2 Li 2.90, 4 Tl 2.96
La  0.2500  0.5000  0.2177  8 Tl 3.36-3.71, 2 Cd 3.51
La  0.7500  0.5000  0.7823  8 Tl 3.36-3.71, 2 Cd 3.51
Tl  0.2500  0.2582  0.7161  2 Li 2.96, 1 Cd 3.01, 1 Tl 3.29
Tl  0.2500  0.7418  0.7161  2 Li 2.96, 1 Cd 3.01, 1 Tl 3.29
Tl  0.7500  0.2582  0.2839  2 Li 2.96, 1 Cd 3.01, 1 Tl 3.29
Tl  0.7500  0.7418  0.2839  2 Li 2.96, 1 Cd 3.01, 1 Tl 3.29
Cd  0.2500  0.0000  0.3472  2 Li 2.72, 2 Tl 3.01
Cd  0.7500  0.0000  0.6528  2 Li 2.72, 2 Tl 3.01

***

The following is a DFT calculation (PBE-GGA) of a relaxed structure of LiLaTm2Cd4.

Output
Energy of formation from the pure elements, meV per atom: -249.2
Theoretical density, g cm⁻³: 7.566
Space group: R-3m, No. 166

a b c (Å): 9.2986 9.2986 9.2986
angles (deg): 32.37 32.37 32.37
With the nearest neighbours (Å) after each atom.
Fractional coordinates of all 8 atoms:
Li  0.0000  0.0000  0.0000  8 Cd 2.97-3.16
La  0.5000  0.5000  0.5000  8 Cd 3.32-3.38
Tm  0.2543  0.2543  0.2543  7 Cd 3.10-3.18
Tm  0.7457  0.7457  0.7457  7 Cd 3.10-3.18
Cd  0.1123  0.1123  0.1123  1 Li 2.97, 3 Tm 3.12, 3 La 3.32
Cd  0.3719  0.3719  0.3719  4 Tm 3.10-3.18, 3 Li 3.16, 1 La 3.38
Cd  0.6281  0.6281  0.6281  4 Tm 3.10-3.18, 3 Li 3.16, 1 La 3.38
Cd  0.8877  0.8877  0.8877  1 Li 2.97, 3 Tm 3.12, 3 La 3.32

***

The following is a DFT calculation (PBE-GGA) of a relaxed structure of Li2LaTmCd4.

Output
Energy of formation from the pure elements, meV per atom: -251.2
Theoretical density, g cm⁻³: 6.680
Space group: R-3m, No. 166

a b c (Å): 8.9253 8.9253 8.9253
angles (deg): 33.39 33.39 33.39
With the nearest neighbours (Å) after each atom.
Fractional coordinates of all 8 atoms:
Li  0.2477  0.2477  0.2477  8 Cd 2.99-3.34
Li  0.7523  0.7523  0.7523  8 Cd 2.99-3.34
La  0.0000  0.0000  0.0000  8 Cd 3.19-3.27
Tm  0.5000  0.5000  0.5000  8 Cd 3.03-3.11
Cd  0.1293  0.1293  0.1293  4 Li 2.99-3.16, 3 Tm 3.11, 1 La 3.27
Cd  0.3799  0.3799  0.3799  1 Tm 3.03, 4 Li 3.12-3.34, 3 La 3.19
Cd  0.6201  0.6201  0.6201  1 Tm 3.03, 4 Li 3.12-3.34, 3 La 3.19
Cd  0.8707  0.8707  0.8707  4 Li 2.99-3.16, 3 Tm 3.11, 1 La 3.27

***

The following is a DFT calculation (PBE-GGA) of a relaxed structure of Li2La2TmCd5.

Output
Energy of formation from the pure elements, meV per atom: -294.6
Theoretical density, g cm⁻³: 6.946
Space group: P4/mbm, No. 127

a b c (Å): 10.9422 10.9422 4.0838
angles (deg): 90.00 90.00 90.00
With the nearest neighbours (Å) after each atom.
Fractional coordinates of all 20 atoms:
Li  0.1148  0.3852  0.0000  6 Cd 2.71-2.85
Li  0.3852  0.8852  0.0000  6 Cd 2.71-2.85
Li  0.6148  0.1148  0.0000  6 Cd 2.71-2.85
Li  0.8852  0.6148  0.0000  6 Cd 2.71-2.85
La  0.1813  0.6813  0.0000  3 Li 3.16-3.32, 10 Cd 3.47-3.53
La  0.3187  0.1813  0.0000  3 Li 3.16-3.32, 10 Cd 3.47-3.53
La  0.6813  0.8187  0.0000  3 Li 3.16-3.32, 10 Cd 3.47-3.53
La  0.8187  0.3187  0.0000  3 Li 3.16-3.32, 10 Cd 3.47-3.53
Tm  0.0000  0.0000  0.0000  8 Cd 3.15
Tm  0.5000  0.5000  0.0000  8 Cd 3.15
Cd  0.0000  0.5000  0.5000  4 Li 2.71
Cd  0.0577  0.2121  0.5000  2 Li 2.85, 2 Tm 3.15
Cd  0.2121  0.9423  0.5000  2 Li 2.85, 2 Tm 3.15
Cd  0.2879  0.4423  0.5000  2 Li 2.85, 2 Tm 3.15
Cd  0.4423  0.7121  0.5000  2 Li 2.85, 2 Tm 3.15
Cd  0.5000  0.0000  0.5000  4 Li 2.71
Cd  0.5577  0.2879  0.5000  2 Li 2.85, 2 Tm 3.15
Cd  0.7121  0.5577  0.5000  2 Li 2.85, 2 Tm 3.15
Cd  0.7879  0.0577  0.5000  2 Li 2.85, 2 Tm 3.15
Cd  0.9423  0.7879  0.5000  2 Li 2.85, 2 Tm 3.15

***

The following is a DFT calculation (PBE-GGA) of a relaxed structure of Li2LaYCd4.

Output
Energy of formation from the pure elements, meV per atom: -272.3
Theoretical density, g cm⁻³: 5.916
Space group: R-3m, No. 166

a b c (Å): 8.9441 8.9441 8.9441
angles (deg): 33.49 33.49 33.49
With the nearest neighbours (Å) after each atom.
Fractional coordinates of all 8 atoms:
Li  0.2481  0.2481  0.2481  8 Cd 3.03-3.30
Li  0.7519  0.7519  0.7519  8 Cd 3.03-3.30
La  0.0000  0.0000  0.0000  8 Cd 3.19-3.25
Y  0.5000  0.5000  0.5000  8 Cd 3.07-3.13
Cd  0.1283  0.1283  0.1283  4 Li 3.03-3.17, 3 Y 3.13, 1 La 3.25
Cd  0.3787  0.3787  0.3787  1 Y 3.07, 4 Li 3.14-3.30, 3 La 3.19
Cd  0.6213  0.6213  0.6213  1 Y 3.07, 4 Li 3.14-3.30, 3 La 3.19
Cd  0.8717  0.8717  0.8717  4 Li 3.03-3.17, 3 Y 3.13, 1 La 3.25

***

Copy entry 4 word for word.
The following is a DFT calculation (PBE-GGA) of a relaxed structure of LiLaTl2Cd.

Output
Energy of formation from the pure elements, meV per atom: -223.5
Theoretical density, g cm⁻³: 8.460
Space group: Pmma, No. 51

a b c (Å): 5.8028 6.7977 6.6384
angles (deg): 90.00 90.00 90.00
With the nearest neighbours (Å) after each atom.
Fractional coordinates of all 10 atoms:
Li  0.0000  0.0000  0.0000  2 Cd 2.72, 2 Li 2.90, 4 Tl 2.96
Li  0.5000  0.0000  0.0000  2 Cd 2.72, 2 Li 2.90, 4 Tl 2.96
La  0.2500  0.5000  0.2177  8 Tl 3.36-3.71, 2 Cd 3.51
La  0.7500  0.5000  0.7823  8 Tl 3.36-3.71, 2 Cd 3.51
Tl  0.2500  0.2582  0.7161  2 Li 2.96, 1 Cd 3.01, 1 Tl 3.29
Tl  0.2500  0.7418  0.7161  2 Li 2.96, 1 Cd 3.01, 1 Tl 3.29
Tl  0.7500  0.2582  0.2839  2 Li 2.96, 1 Cd 3.01, 1 Tl 3.29
Tl  0.7500  0.7418  0.2839  2 Li 2.96, 1 Cd 3.01, 1 Tl 3.29
Cd  0.2500  0.0000  0.3472  2 Li 2.72, 2 Tl 3.01
Cd  0.7500  0.0000  0.6528  2 Li 2.72, 2 Tl 3.01

***

Please write out number 8 again, unchanged.
The following is a DFT calculation (PBE-GGA) of a relaxed structure of Li2LaYCd4.

Output
Energy of formation from the pure elements, meV per atom: -272.3
Theoretical density, g cm⁻³: 5.916
Space group: R-3m, No. 166

a b c (Å): 8.9441 8.9441 8.9441
angles (deg): 33.49 33.49 33.49
With the nearest neighbours (Å) after each atom.
Fractional coordinates of all 8 atoms:
Li  0.2481  0.2481  0.2481  8 Cd 3.03-3.30
Li  0.7519  0.7519  0.7519  8 Cd 3.03-3.30
La  0.0000  0.0000  0.0000  8 Cd 3.19-3.25
Y  0.5000  0.5000  0.5000  8 Cd 3.07-3.13
Cd  0.1283  0.1283  0.1283  4 Li 3.03-3.17, 3 Y 3.13, 1 La 3.25
Cd  0.3787  0.3787  0.3787  1 Y 3.07, 4 Li 3.14-3.30, 3 La 3.19
Cd  0.6213  0.6213  0.6213  1 Y 3.07, 4 Li 3.14-3.30, 3 La 3.19
Cd  0.8717  0.8717  0.8717  4 Li 3.03-3.17, 3 Y 3.13, 1 La 3.25

***

- What is the energy of formation from the pure elements in the third record?
  -75.7 meV per atom